Compound: NbCuAg2Rh
Source: the Alexandria database
Functional: meta-GGA SCAN
Structure: single point on PBEsol structure

a = 4.495 Å, b = 4.495 Å, c = 4.537 Å
α = 90.00°, β = 90.00°, γ = 90.00°
Positions (direct):
1 Rh 0.000 0.000 0.500
2 Nb 0.500 0.500 0.500
3 Ag 0.000 0.500 0.000
4 Ag 0.500 0.000 0.000
5 Cu 0.000 0.000 0.000

Summary:
- Crystal system: tetragonal
- Space-group type: P4/mmm, No. 123
- Electronic total energy: -139.501 eV per formula unit
- V: 18.33 A^3/atom